(1)
BeCoW2 | PBE | relaxed

Geometry as CIF:
```
data_BeCoW2
_chemical_formula_sum 'Be4 Co4 W8'
_cell_length_a 5.982
_cell_length_b 5.982
_cell_length_c 5.982
_cell_angle_alpha 90.00
_cell_angle_beta 90.00
_cell_angle_gamma 90.00
_space_group_name_H-M_alt 'F -4 3 m'
_space_group_IT_number 216
_space_group_name_Hall 'F -4 2 3'
loop_
_atom_site_label
_atom_site_fract_x
_atom_site_fract_y
_atom_site_fract_z
Be1 0.000 0.000 0.000
Co1 0.250 0.250 0.250
W1 0.000 0.000 0.500
W2 0.250 0.250 0.750
```

## Properties
The value obtained for the spin magnetization is 2.60 μB per cell. Its raw total energy is -141.80 eV/cell.

(2)
NbB4W | PBE | relaxed

Geometry as CIF:
```
data_NbB4W
_chemical_formula_sum 'Nb1 B4 W1'
_cell_length_a 3.0785
_cell_length_b 3.0785
_cell_length_c 6.6428
_cell_angle_alpha 90.00
_cell_angle_beta 90.00
_cell_angle_gamma 120.00
_space_group_name_H-M_alt 'P 6/m m m'
_space_group_IT_number 191
_space_group_name_Hall '-P 6 2'
loop_
_atom_site_label
_atom_site_fract_x
_atom_site_fract_y
_atom_site_fract_z
Nb1 0.0000 0.0000 0.0000
B1 0.3333 0.6667 0.2541
W1 0.0000 0.0000 0.5000
```

## Properties
The value obtained for the spin magnetization is 0.01 μB per cell. As for the offset from the most stable computed form: 0.37 kJ/mol of atoms.

Look up the spin magnetization of the second one.
0.01 μB per cell